Tl4Bi2Pb: optimized geometry, PBE.

Geometry as extended XYZ:
```
7
Lattice="5.391 0.000 0.000 2.634 6.090 0.000 2.654 -0.488 7.442" Properties=species:S:1:pos:R:3 pbc="T T T"
Tl 1.335 1.098 0.390
Tl 3.959 4.208 3.053
Tl 6.719 1.395 4.388
Tl 9.344 4.505 7.052
Bi 6.639 4.877 4.985
Bi 4.040 0.725 2.457
Pb 4.012 3.045 0.000
```

- ΔE_f: 43 meV/atom
- Spin magnetization: 0.000 μB/atom
- Energy above the lowest structure with this stoichiometry: 0 meV/atom
- Space group: P-1
- Final energy: -2.948 eV per atom